A geometry-optimized Ac2CeSi3Ir4 structure, computed with GGA-PBE.

The structure belongs to space group P-4m2 (No. 115); the cell edges are 4.302, 4.302 and 10.929 Å and the angles 90.00°, 90.00° and 90.00°. The distinct sites, in fractional coordinates, are Ac at (0.000, 0.500, 0.234), Ce at (0.000, 0.000, 0.500), Si at (0.000, 0.500, 0.884), Si at (0.500, 0.500, 0.500), Ir at (0.000, 0.000, 0.000), Ir at (0.000, 0.500, 0.655) and Ir at (0.500, 0.500, 0.000).

The calculation puts the density of states at the Fermi level at 0.65 states/eV per atom. The value obtained for the total magnetization is 0.00 μB/f.u. Its calculated volume is 202.2 Å³/cell.

A geometry-optimized HgTePRu2 structure, computed with GGA-PBE.

The structure belongs to space group P4/mmm (No. 123); the cell edges are 4.871, 4.871 and 5.437 Å and the angles 90.00°, 90.00° and 90.00°. The distinct sites, in fractional coordinates, are Hg at (0.000, 0.000, 0.000), Te at (0.000, 0.000, 0.500), P at (0.500, 0.500, 0.000) and Ru at (0.000, 0.500, 0.500).

The calculation puts the density of states at the Fermi level at 1.61 states/eV per atom. The value obtained for the total magnetization is 2.49 μB/f.u. Its calculated volume is 129.0 Å³/cell.

A geometry-optimized CeY2Cl8 structure, computed with GGA-PBE.

The structure belongs to space group C2/m (No. 12); the cell edges are 8.403, 12.284 and 5.331 Å and the angles 90.00°, 104.82° and 90.00°. The distinct sites, in fractional coordinates, are Ce at (0.000, 0.000, 0.000), Y at (0.000, 0.318, 0.500), Cl at (0.000, 0.240, 0.000), Cl at (0.124, 0.500, 0.807) and Cl at (0.193, 0.131, 0.582).

The calculation puts the density of states at the Fermi level at 1.13 states/eV per atom. The value obtained for the total magnetization is 2.03 μB/f.u. Its calculated volume is 532.0 Å³/cell.

A geometry-optimized Y2HgSb structure, computed with GGA-PBE.

The structure belongs to space group Imm2 (No. 44); the cell edges are 4.273, 4.547 and 11.043 Å and the angles 90.00°, 90.00° and 90.00°. The distinct sites, in fractional coordinates, are Y at (0.000, 0.000, 0.000), Y at (0.000, 0.500, 0.246), Hg at (0.000, 0.500, 0.753) and Sb at (0.000, 0.000, 0.492).

The calculation puts the density of states at the Fermi level at 0.78 states/eV per atom. The value obtained for the total magnetization is 0.00 μB/f.u. Its calculated volume is 214.5 Å³/cell. The calculation puts the energy above the lowest structure with this stoichiometry at 0.129 eV per atom.

Let's list raw total energy in order: -7.45 -3.81 -5.12 -5.00 eV per atom.
Let's list formation energy from raw total energies in order: -0.86 1.67 -2.06 -0.66 eV per atom.